AcCe2Zr | the Alexandria database | GGA-PBE | optimized geometry; ΔE_f = 324 meV/atom; SG = R-3m, No. 166; magnetization = 1.5 μB per formula unit
1.0
-1.5720 -2.5985 1.5893
1.7868 -2.7740 0.9282
2.4659 3.3634 11.6348
Ce Ac Zr
2 1 1
Cartesian
1.7942 1.9174 8.6062
0.8865 -3.9266 5.5460
0.0000 0.0000 0.0000
1.3403 -1.0046 7.0761